[1]
A plane-wave DFT calculation with PBE was carried out for a geometry-optimized Cs2TlP2O6 structure.

Summary:
energy relative to the elements, uncorrected	-182.5	kJ per mole of atoms
total moment	0.9	μB/f.u.

Structure (CIF):
```
data_Cs2TlP2O6
_chemical_formula_sum 'Cs4 Tl2 P4 O12'
_cell_length_a 11.4943
_cell_length_b 6.3899
_cell_length_c 7.4878
_cell_angle_alpha 90.00
_cell_angle_beta 121.99
_cell_angle_gamma 90.00
_symmetry_space_group_name_H-M 'C 1 2/m 1'
_symmetry_Int_Tables_number 12
loop_
_symmetry_equiv_pos_as_xyz
'x,y,z'
'-x,-y,-z'
'-x,y,-z'
'x,-y,z'
'x+1/2,y+1/2,z'
'-x+1/2,-y+1/2,-z'
'-x+1/2,y+1/2,-z'
'x+1/2,-y+1/2,z'
loop_
_atom_site_label
_atom_site_type_symbol
_atom_site_fract_x
_atom_site_fract_y
_atom_site_fract_z
Cs1 Cs 0.2158 0.0000 0.1933
Tl1 Tl 0.0000 0.0000 0.5000
P1 P 0.0421 0.5000 0.1883
O1 O 0.0220 0.2968 0.7950
O2 O 0.1973 0.5000 0.2902
```

***

[2]
A plane-wave DFT calculation with PBE was carried out for a geometry-optimized CsTl2P2O6 structure.

Summary:
energy relative to the elements, uncorrected	-163.8	kJ per mole of atoms
total moment	1.0	μB/f.u.

Structure (CIF):
```
data_CsTl2P2O6
_chemical_formula_sum 'Cs3 Tl6 P6 O18'
_cell_length_a 6.1733
_cell_length_b 6.1733
_cell_length_c 22.6156
_cell_angle_alpha 90.00
_cell_angle_beta 90.00
_cell_angle_gamma 120.00
_symmetry_space_group_name_H-M 'R -3 m'
_symmetry_Int_Tables_number 166
_symmetry_space_group_name_Hall '-R 3 2"'
loop_
_atom_site_label
_atom_site_type_symbol
_atom_site_fract_x
_atom_site_fract_y
_atom_site_fract_z
Cs1 Cs 0.0000 0.0000 0.0000
Tl1 Tl 0.0000 0.0000 0.1927
P1 P 0.0000 0.0000 0.4466
O1 O 0.0525 0.5263 0.2325
```

***

[3]
A plane-wave DFT calculation with PBE was carried out for a geometry-optimized Cs2UP2O9 structure.

Summary:
energy relative to the elements, uncorrected	-247.2	kJ per mole of atoms
total moment	0.0	μB/f.u.

Structure (CIF):
```
data_Cs2UP2O9
_chemical_formula_sum 'Cs8 U4 P8 O36'
_cell_length_a 12.7824
_cell_length_b 12.9347
_cell_length_c 6.3535
_cell_angle_alpha 90.00
_cell_angle_beta 90.00
_cell_angle_gamma 90.00
_symmetry_space_group_name_H-M 'P m m n'
_symmetry_Int_Tables_number 59
loop_
_symmetry_equiv_pos_as_xyz
'x,y,z'
'-x,-y,-z'
'-x+1/2,-y+1/2,z'
'x+1/2,y+1/2,-z'
'x+1/2,-y,-z'
'-x+1/2,y,z'
'-x,y+1/2,-z'
'x,-y+1/2,z'
loop_
_atom_site_label
_atom_site_type_symbol
_atom_site_fract_x
_atom_site_fract_y
_atom_site_fract_z
Cs1 Cs 0.0712 0.2500 0.0084
Cs2 Cs 0.2500 0.5721 0.9855
U1 U 0.0000 0.0000 0.5000
P1 P 0.1313 0.7500 0.4813
P2 P 0.2500 0.1328 0.4860
O1 O 0.0433 0.5113 0.2277
O2 O 0.0809 0.6533 0.5861
O3 O 0.1325 0.7500 0.2457
O4 O 0.1515 0.0845 0.5914
O5 O 0.2500 0.1334 0.2505
O6 O 0.2500 0.2500 0.5834
O7 O 0.2500 0.7500 0.5795
```

***

Q: Which value of energy relative to the elements, uncorrected does entry 3 give?
A: -247.2 kJ per mole of atoms